# 1
CdGa5Ag6 | GGA-PBE | optimized geometry

a = 5.2921 Å, b = 5.2921 Å, c = 9.2403 Å
α = 94.13°, β = 94.13°, γ = 122.10°
Atoms (fractional coordinates):
Cd  0.0000  0.0000  0.0000
Ga  0.1669  0.8331  0.5000
Ga  0.3326  0.6674  0.0000
Ga  0.5000  0.5000  0.5000
Ga  0.6674  0.3326  0.0000
Ga  0.8331  0.1669  0.5000
Ag  0.0850  0.4228  0.2538
Ag  0.2523  0.2523  0.7428
Ag  0.4228  0.0850  0.2538
Ag  0.5772  0.9150  0.7462
Ag  0.7477  0.7477  0.2572
Ag  0.9150  0.5772  0.7462

The density of states at the Fermi level comes out at 4.0 states/eV per cell. The value obtained for the final energy is -33.0 eV per cell. For the energy above the most stable polymorph in this dataset, the calculation gives 0.0 meV per atom. The value obtained for the density is 8.5 Mg/m³. As for the volume: 18.07 Å³/atom. Its formation energy is 0.01 eV/atom.

=====

# 2
AlCd3As | GGA-PBE | optimized geometry

a = 5.1569 Å, b = 5.1569 Å, c = 5.1569 Å
α = 90.00°, β = 90.00°, γ = 90.00°
Atoms (fractional coordinates):
Al  0.0000  0.0000  0.0000
Cd  0.0000  0.0000  0.5000
Cd  0.0000  0.5000  0.0000
Cd  0.5000  0.0000  0.0000
As  0.5000  0.5000  0.5000

The density of states at the Fermi level comes out at 6.3 states/eV per cell. The value obtained for the final energy is -8.2 eV per cell. For the energy above the most stable polymorph in this dataset, the calculation gives 97.1 meV per atom. The value obtained for the density is 5.3 Mg/m³. As for the volume: 27.43 Å³/atom. Its formation energy is 0.60 eV/atom.

=====

# 3
AgTeF6 | GGA-PBE | optimized geometry

a = 5.2503 Å, b = 5.2503 Å, c = 5.4953 Å
α = 107.55°, β = 107.55°, γ = 77.02°
Atoms (fractional coordinates):
Ag  0.0000  0.0000  0.0000
Te  0.5000  0.5000  0.5000
F  0.2288  0.6609  0.2216
F  0.2446  0.2446  0.4405
F  0.3391  0.7712  0.7784
F  0.6609  0.2288  0.2216
F  0.7554  0.7554  0.5595
F  0.7712  0.3391  0.7784

The density of states at the Fermi level comes out at 2.5 states/eV per cell. The value obtained for the final energy is -31.4 eV per cell. For the energy above the most stable polymorph in this dataset, the calculation gives 21.1 meV per atom. The value obtained for the formation energy without anion corrections is -1.7679 eV/atom. The value obtained for the density is 4.3 Mg/m³. As for the volume: 17.03 Å³/atom.

=====

# 4
CaYb2S4 | GGA-PBE | optimized geometry

a = 7.2522 Å, b = 7.2522 Å, c = 7.2522 Å
α = 109.77°, β = 109.77°, γ = 108.88°
Atoms (fractional coordinates):
Ca  0.0000  0.0000  0.0000
Ca  0.7500  0.2500  0.5000
Yb  0.2504  0.6250  0.1254
Yb  0.3750  0.5004  0.6254
Yb  0.4996  0.1250  0.8746
Yb  0.8750  0.7496  0.3746
S  0.1333  0.2347  0.7502
S  0.1330  0.7344  0.7498
S  0.2656  0.0153  0.3986
S  0.4844  0.3830  0.2498
S  0.6170  0.8667  0.1014
S  0.6167  0.8670  0.6014
S  0.7653  0.5156  0.8986
S  0.9847  0.3833  0.2502

The density of states at the Fermi level comes out at 38.9 states/eV per cell. The value obtained for the final energy is -67.2 eV per cell. The value obtained for the formation energy without anion corrections is -1.7200 eV/atom. The value obtained for the density is 5.8 Mg/m³. As for the volume: 20.97 Å³/atom.

=====

# 5
Li2TbIn | GGA-PBE | optimized geometry

a = 3.6613 Å, b = 3.6613 Å, c = 6.7308 Å
α = 90.00°, β = 90.00°, γ = 90.00°
Atoms (fractional coordinates):
Li  0.0000  0.0000  0.2085
Li  0.0000  0.0000  0.7915
Tb  0.5000  0.5000  0.5000
In  0.5000  0.5000  0.0000

The density of states at the Fermi level comes out at 2.4 states/eV per cell. The value obtained for the final energy is -11.6 eV per cell. The value obtained for the density is 5.3 Mg/m³. As for the volume: 22.56 Å³/atom. Its formation energy is -0.09 eV/atom.

=====

# 6
BaSi2SbO8 | GGA-PBE | optimized geometry

a = 5.0036 Å, b = 5.0036 Å, c = 7.9543 Å
α = 92.00°, β = 92.00°, γ = 65.45°
Atoms (fractional coordinates):
Ba  0.0000  0.0000  0.0000
Si  0.3639  0.3639  0.7013
Si  0.6361  0.6361  0.2987
Sb  0.0000  0.0000  0.5000
O  0.2261  0.7258  0.6832
O  0.2295  0.2295  0.5484
O  0.2742  0.7739  0.3168
O  0.3071  0.3071  0.8941
O  0.6929  0.6929  0.1059
O  0.7258  0.2261  0.6832
O  0.7705  0.7705  0.4516
O  0.7739  0.2742  0.3168

The density of states at the Fermi level comes out at 7.2 states/eV per cell. The value obtained for the final energy is -83.4 eV per cell. The value obtained for the formation energy without anion corrections is -2.2378 eV/atom. The value obtained for the density is 4.1 Mg/m³. As for the volume: 15.08 Å³/atom.

=====

# 7
LiPm2PbAu4 | GGA-PBE | optimized geometry

a = 8.7833 Å, b = 8.7833 Å, c = 8.7833 Å
α = 33.23°, β = 33.23°, γ = 33.23°
Atoms (fractional coordinates):
Li  0.0000  0.0000  0.0000
Pm  0.2464  0.2464  0.2464
Pm  0.7536  0.7536  0.7536
Pb  0.5000  0.5000  0.5000
Au  0.1156  0.1156  0.1156
Au  0.3670  0.3670  0.3670
Au  0.6330  0.6330  0.6330
Au  0.8844  0.8844  0.8844

The density of states at the Fermi level comes out at 2.8 states/eV per cell. The value obtained for the final energy is -33.6 eV per cell. The value obtained for the density is 11.8 Mg/m³. As for the volume: 22.65 Å³/atom. Its formation energy is -0.67 eV/atom.

=====

# 8
DyAl6Ni3 | GGA-PBE | optimized geometry

a = 7.5699 Å, b = 4.0348 Å, c = 10.4393 Å
α = 90.00°, β = 99.71°, γ = 90.00°
Atoms (fractional coordinates):
Dy  0.0494  0.2500  0.2345
Dy  0.9506  0.7500  0.7655
Al  0.1018  0.2500  0.5707
Al  0.2330  0.7500  0.0368
Al  0.3387  0.7500  0.6965
Al  0.3707  0.2500  0.8882
Al  0.3850  0.7500  0.2797
Al  0.3961  0.2500  0.4582
Al  0.6039  0.7500  0.5418
Al  0.6150  0.2500  0.7203
Al  0.6293  0.7500  0.1118
Al  0.6613  0.2500  0.3035
Al  0.7670  0.2500  0.9632
Al  0.8982  0.7500  0.4293
Ni  0.0902  0.2500  0.9659
Ni  0.2264  0.7500  0.4676
Ni  0.4093  0.2500  0.1357
Ni  0.5907  0.7500  0.8643
Ni  0.7736  0.2500  0.5324
Ni  0.9098  0.7500  0.0341

The density of states at the Fermi level comes out at 7.6 states/eV per cell. The value obtained for the final energy is -98.3 eV per cell. The value obtained for the density is 5.3 Mg/m³. As for the volume: 15.71 Å³/atom. Its formation energy is -0.48 eV/atom.

=====

# 9
Ho2BePd | GGA-PBE | optimized geometry

a = 4.8910 Å, b = 4.8910 Å, c = 4.8910 Å
α = 60.00°, β = 60.00°, γ = 60.00°
Atoms (fractional coordinates):
Ho  0.2500  0.2500  0.2500
Ho  0.7500  0.7500  0.7500
Be  0.0000  0.0000  0.0000
Pd  0.5000  0.5000  0.5000

The density of states at the Fermi level comes out at 2.3 states/eV per cell. The value obtained for the final energy is -19.6 eV per cell. For the energy above the most stable polymorph in this dataset, the calculation gives 46.1 meV per atom. The value obtained for the density is 8.9 Mg/m³. As for the volume: 20.68 Å³/atom. Its formation energy is -0.37 eV/atom.

=====

# 10
SrSbOsI2 | GGA-PBE | optimized geometry

a = 5.7177 Å, b = 5.7177 Å, c = 5.0207 Å
α = 90.00°, β = 90.00°, γ = 90.00°
Atoms (fractional coordinates):
Sr  0.0000  0.0000  0.0000
Sb  0.5000  0.5000  0.0000
Os  0.5000  0.5000  0.5000
I  0.0000  0.5000  0.5000
I  0.5000  0.0000  0.5000

The density of states at the Fermi level comes out at 2.5 states/eV per cell. The value obtained for the final energy is -20.1 eV per cell. For the energy above the most stable polymorph in this dataset, the calculation gives 0.0 meV per atom. The value obtained for the formation energy without anion corrections is 0.0124 eV/atom. The value obtained for the density is 6.6 Mg/m³. As for the volume: 32.83 Å³/atom.

=====

# 11
Tb2IrRh | GGA-PBE | optimized geometry

a = 4.8662 Å, b = 4.8662 Å, c = 4.8662 Å
α = 60.00°, β = 60.00°, γ = 60.00°
Atoms (fractional coordinates):
Tb  0.2500  0.2500  0.2500
Tb  0.7500  0.7500  0.7500
Ir  0.0000  0.0000  0.0000
Rh  0.5000  0.5000  0.5000

The density of states at the Fermi level comes out at 1.4 states/eV per cell. The value obtained for the final energy is -28.8 eV per cell. For the energy above the most stable polymorph in this dataset, the calculation gives 0.0 meV per atom. The value obtained for the density is 12.5 Mg/m³. As for the volume: 20.37 Å³/atom. Its formation energy is -0.84 eV/atom.

=====

# 12
KLiPb4 | GGA-PBE | optimized geometry

a = 9.4088 Å, b = 4.7983 Å, c = 8.3511 Å
α = 90.00°, β = 90.00°, γ = 90.00°
Atoms (fractional coordinates):
K  0.2500  0.0000  0.1148
K  0.7500  0.0000  0.8852
Li  0.2500  0.0000  0.6980
Li  0.7500  0.0000  0.3020
Pb  0.0000  0.0000  0.5000
Pb  0.0702  0.5000  0.8004
Pb  0.2500  0.5000  0.4513
Pb  0.4298  0.5000  0.8004
Pb  0.5000  0.0000  0.5000
Pb  0.5702  0.5000  0.1996
Pb  0.7500  0.5000  0.5487
Pb  0.9298  0.5000  0.1996

The density of states at the Fermi level comes out at 5.4 states/eV per cell. The value obtained for the final energy is -37.4 eV per cell. For the energy above the most stable polymorph in this dataset, the calculation gives 0.0 meV per atom. The value obtained for the density is 7.7 Mg/m³. As for the volume: 31.42 Å³/atom. Its formation energy is -0.14 eV/atom.

=====

Which of these has the highest density?
Tb2IrRh

=====

Look up the density of the ninth one.
8.9 Mg/m³